A plane-wave DFT calculation with PBE+U was carried out for a relaxed VPbO4 crystal.

Unit cell a=5.7329 b=5.0255 c=5.5932 alpha=90.00 beta=109.11 gamma=90.00
Closest atoms and distances in Å follow each position.
Space group P2_1/c (No. 14)
Unique sites:
1 V 0.0000 0.0000 0.0000 (multiplicity 2)  6 O 1.84-2.04
2 Pb 0.5000 0.0000 0.5000 (multiplicity 2)  6 O 2.26-2.40
3 O 0.1060 0.2061 0.3046 (multiplicity 4)  2 V 1.91-2.04
4 O 0.3158 0.6356 0.5955 (multiplicity 4)  1 V 1.84

Raw total energy ... -39.1 eV per formula unit
Spin magnetization ... 0.00 μB/cell